(1)
Sc2TcC | Alexandria | PBE | relaxed; calculated total energy = -8.125 eV/atom; V = 18.101 Å³/atom; symmetry = No. 122; ΔH_f (0 K) = -62 meV per atom
1.0
8.531 0.000 0.000
0.000 8.531 0.000
4.266 4.266 1.990
Sc C Tc
4 2 2
direct
0.468 0.125 0.250
0.282 0.625 0.250
0.375 0.532 0.750
0.875 0.718 0.750
0.500 0.500 0.000
0.250 0.750 0.500
0.000 0.000 0.000
0.750 0.250 0.500


(2)
ScTcC | Alexandria | PBE | relaxed; calculated total energy = -8.997 eV/atom; distance to the lowest polymorph of the same formula = 0 kJ/mol of formula units; V = 13.939 Å³/atom; symmetry = No. 12; ΔH_f (0 K) = -357 meV per atom
1.0
-0.291 -2.258 2.121
3.540 -3.098 -2.813
1.956 4.720 3.011
C Tc Sc
2 2 2
direct
0.752 0.741 0.505
0.248 0.259 0.495
0.144 0.472 0.288
0.856 0.528 0.712
0.615 0.922 0.230
0.385 0.078 0.770


(3)
Sc3TcC | Alexandria | PBE | relaxed; calculated total energy = -7.806 eV/atom; distance to the lowest polymorph of the same formula = 0 kJ/mol of formula units; V = 17.564 Å³/atom; symmetry = No. 221; ΔH_f (0 K) = -89 meV per atom
1.0
-1.420 -4.211 -0.067
1.687 -0.504 -4.081
3.859 -1.329 1.760
Sc C Tc
3 1 1
direct
0.000 0.500 0.000
0.000 0.000 0.500
0.500 0.000 0.000
0.000 0.000 0.000
0.500 0.500 0.500


(4)
Sc12TcC7 | Alexandria | PBE | relaxed; calculated total energy = -7.963 eV/atom; V = 16.191 Å³/atom; symmetry = No. 148; ΔH_f (0 K) = -418 meV per atom
1.0
7.020 -0.138 -2.128
-2.831 6.425 -2.128
-0.092 -0.138 7.335
Sc Tc C
12 1 7
direct
0.930 0.312 0.787
0.688 0.213 0.070
0.444 0.156 0.372
0.844 0.628 0.556
0.213 0.070 0.688
0.628 0.556 0.844
0.372 0.444 0.156
0.787 0.930 0.312
0.156 0.372 0.444
0.556 0.844 0.628
0.312 0.787 0.930
0.070 0.688 0.213
0.000 0.000 0.000
0.966 0.656 0.885
0.344 0.115 0.034
0.115 0.034 0.344
0.500 0.500 0.500
0.885 0.966 0.656
0.656 0.885 0.966
0.034 0.344 0.115